## Ac8OsPt3I4 (GGA-PBE)

Data for an optimized crystal structure of Ac8OsPt3I4.

Cell lengths 15.419, 8.902, 10.044 Å; angles 90.00, 120.85, 90.00 degrees
Space group C2/m (No. 12)
Inequivalent atoms, fractional coordinates:
Ac  0.019  0.243  0.315 (multiplicity 8)
Ac  0.224  0.000  0.685 (multiplicity 4)
Ac  0.229  0.500  0.686 (multiplicity 4)
Os  0.000  0.000  0.500 (multiplicity 2)
Pt  0.000  0.500  0.500 (multiplicity 2)
Pt  0.250  0.250  0.500 (multiplicity 4)
I  0.000  0.000  0.000 (multiplicity 2)
I  0.000  0.500  0.000 (multiplicity 2)
I  0.250  0.250  0.000 (multiplicity 4)

E_form (uncorrected): -1098.4 meV/atom
M_tot: 0.00 μB per cell